Material: Pa2SeO
Method: DFT, PBE-GGA
State: optimized geometry

Structure (POSCAR):
```
Pa2SeO
1.0
1.797 1.038 6.817
-1.797 1.038 6.817
0.000 -2.075 6.817
Pa Se O
2 1 1
Direct
0.235 0.235 0.235
0.765 0.765 0.765
0.000 0.000 0.000
0.500 0.500 0.500
```

Computed properties:
Magnetic moment   0.00 μB/f.u.
E_form (uncorrected)   -1779 meV/atom